No. 1
VASP calculation (PBE) on a relaxed TmVNi2 crystal.

abc: 3.0535 3.0535 6.5117
angles: 90.00 90.00 90.00
Fractional coordinates of all 4 atoms:
Tm1 0.0000 0.0000 0.0000
V1 0.0000 0.0000 0.5000
Ni1 0.5000 0.5000 0.3037
Ni2 0.5000 0.5000 0.6963

Summary:
formation enthalpy at 0 K: -0.157 eV/atom
size of the total moment: 0.16 μB/atom
offset from the most stable computed form: 92 meV per atom
total DFT energy (no corrections): -0.2368 Ha/atom
volume: 61 Å³ per cell

***

No. 2
VASP calculation (PBE) on a relaxed RbTe3Mo crystal.

abc: 5.9130 5.9130 5.9130
angles: 90.00 90.00 90.00
Fractional coordinates of all 5 atoms:
Rb1 0.0000 0.0000 0.0000
Te1 0.0000 0.0000 0.5000
Te2 0.0000 0.5000 0.0000
Te3 0.5000 0.0000 0.0000
Mo1 0.5000 0.5000 0.5000

Summary:
size of the total moment: 0.00 μB/atom
offset from the most stable computed form: 2262 meV per atom
formation energy (no corrections): 2.19 eV per atom
total DFT energy (no corrections): -0.0757 Ha/atom
volume: 207 Å³ per cell

***

No. 3
VASP calculation (PBE) on a relaxed La2SmAg2 crystal.

abc: 3.7801 5.4514 14.1247
angles: 90.00 97.69 90.00
Fractional coordinates of all 10 atoms:
La1 0.0456 0.2500 0.0938
La2 0.2351 0.2500 0.4680
La3 0.7649 0.7500 0.5320
La4 0.9544 0.7500 0.9062
Sm1 0.1451 0.7500 0.2906
Sm2 0.8549 0.2500 0.7094
Ag1 0.3591 0.7500 0.7186
Ag2 0.4488 0.2500 0.8953
Ag3 0.5512 0.7500 0.1047
Ag4 0.6409 0.2500 0.2814

Summary:
formation enthalpy at 0 K: -0.183 eV/atom
size of the total moment: 0.00 μB/atom
offset from the most stable computed form: 0 meV per atom
total DFT energy (no corrections): -0.1557 Ha/atom
volume: 288 Å³ per cell

***

No. 4
VASP calculation (PBE) on a relaxed Na3TbTm2Te6 crystal.

abc: 7.6269 7.6269 7.9809
angles: 99.17 99.17 120.00
Fractional coordinates of all 12 atoms:
Na1 0.0000 0.0000 0.0000
Na2 0.3346 0.6654 0.0000
Na3 0.6654 0.3346 0.0000
Tb1 0.5000 0.5000 0.5000
Tm1 0.1669 0.8331 0.5000
Tm2 0.8331 0.1669 0.5000
Te1 0.0860 0.4231 0.2696
Te2 0.2395 0.2395 0.7302
Te3 0.4231 0.0860 0.2696
Te4 0.5769 0.9140 0.7304
Te5 0.7605 0.7605 0.2698
Te6 0.9140 0.5769 0.7304

Summary:
size of the total moment: 0.00 μB/atom
formation energy (no corrections): -1.30 eV per atom
total DFT energy (no corrections): -0.1593 Ha/atom
volume: 381 Å³ per cell

***

No. 5
VASP calculation (PBE) on a relaxed HgRhIO2 crystal.

abc: 3.9457 3.9457 7.1909
angles: 90.00 90.00 90.00
Fractional coordinates of all 5 atoms:
Hg1 0.0000 0.0000 0.0000
Rh1 0.5000 0.5000 0.5000
I1 0.5000 0.5000 0.0000
O1 0.0000 0.5000 0.5000
O2 0.5000 0.0000 0.5000

Summary:
size of the total moment: 0.00 μB/atom
offset from the most stable computed form: 0 meV per atom
formation energy (no corrections): 0.00 eV per atom
total DFT energy (no corrections): -0.1404 Ha/atom
volume: 112 Å³ per cell

***

No. 6
VASP calculation (PBE) on a relaxed Sc4FeIr crystal.

abc: 7.2621 7.2621 5.7333
angles: 108.02 108.02 110.63
Fractional coordinates of all 12 atoms:
Sc1 0.0520 0.6992 0.9062
Sc2 0.2352 0.3590 0.7131
Sc3 0.3008 0.9480 0.5938
Sc4 0.3590 0.2352 0.2131
Sc5 0.6410 0.7648 0.7869
Sc6 0.6992 0.0520 0.4062
Sc7 0.7648 0.6410 0.2869
Sc8 0.9480 0.3008 0.0938
Fe1 0.0007 0.9993 0.7500
Fe2 0.9993 0.0007 0.2500
Ir1 0.3644 0.6356 0.2500
Ir2 0.6356 0.3644 0.7500

Summary:
formation enthalpy at 0 K: -0.437 eV/atom
size of the total moment: 0.00 μB/atom
offset from the most stable computed form: 0 meV per atom
total DFT energy (no corrections): -0.2773 Ha/atom
volume: 238 Å³ per cell

***

No. 7
VASP calculation (PBE) on a relaxed NaSbS crystal.

abc: 9.0779 9.0779 9.0779
angles: 160.07 143.67 41.78
Fractional coordinates of all 6 atoms:
Na1 0.1781 0.1781 0.0000
Na2 0.8219 0.8219 0.0000
Sb1 0.2516 0.5000 0.7516
Sb2 0.7484 0.5000 0.2484
S1 0.3405 0.3405 0.0000
S2 0.6595 0.6595 0.0000

Summary:
size of the total moment: 0.06 μB/atom
formation energy (no corrections): -0.16 eV per atom
total DFT energy (no corrections): -0.1230 Ha/atom
volume: 151 Å³ per cell

***

No. 8
VASP calculation (PBE) on a relaxed LiTl6In2 crystal.

abc: 8.1362 8.1362 11.2236
angles: 120.76 120.76 24.12
Fractional coordinates of all 9 atoms:
Li1 0.0000 0.0000 0.0000
Tl1 0.0567 0.0567 0.7103
Tl2 0.2052 0.2052 0.0808
Tl3 0.3270 0.3270 0.4384
Tl4 0.6730 0.6730 0.5616
Tl5 0.7948 0.7948 0.9192
Tl6 0.9433 0.9433 0.2897
In1 0.3892 0.3892 0.7529
In2 0.6108 0.6108 0.2471

Summary:
formation enthalpy at 0 K: 0.000 eV/atom
size of the total moment: 0.00 μB/atom
offset from the most stable computed form: 10 meV per atom
total DFT energy (no corrections): -0.0882 Ha/atom
volume: 259 Å³ per cell

***

No. 9
VASP calculation (PBE) on a relaxed MgCoPb crystal.

abc: 5.6906 5.6906 5.6906
angles: 146.22 146.22 48.52
Fractional coordinates of all 3 atoms:
Mg1 0.0000 0.0000 0.0000
Co1 0.6375 0.6375 0.0000
Pb1 0.2858 0.2858 0.0000

Summary:
formation enthalpy at 0 K: 0.220 eV/atom
size of the total moment: 0.27 μB/atom
offset from the most stable computed form: 31 meV per atom
total DFT energy (no corrections): -0.1439 Ha/atom
volume: 57 Å³ per cell

***

No. 10
VASP calculation (PBE) on a relaxed NdEr6Tl3 crystal.

abc: 8.5459 8.5459 8.4679
angles: 90.00 90.00 96.69
Fractional coordinates of all 20 atoms:
Nd1 0.1813 0.8187 0.5000
Nd2 0.8187 0.1813 0.0000
Er1 0.0733 0.4390 0.6902
Er2 0.1047 0.2334 0.3361
Er3 0.2334 0.1047 0.8361
Er4 0.2702 0.7298 0.9228
Er5 0.4390 0.0733 0.1902
Er6 0.4624 0.5376 0.3110
Er7 0.5376 0.4624 0.8110
Er8 0.5610 0.9267 0.6902
Er9 0.7298 0.2702 0.4228
Er10 0.7666 0.8953 0.3361
Er11 0.8953 0.7666 0.8361
Er12 0.9267 0.5610 0.1902
Tl1 0.0785 0.9215 0.1410
Tl2 0.2250 0.3942 0.0385
Tl3 0.3942 0.2250 0.5385
Tl4 0.6058 0.7750 0.0385
Tl5 0.7750 0.6058 0.5385
Tl6 0.9215 0.0785 0.6410

Summary:
formation enthalpy at 0 K: -0.121 eV/atom
size of the total moment: 0.00 μB/atom
total DFT energy (no corrections): -0.1487 Ha/atom
volume: 614 Å³ per cell

***

No. 11
VASP calculation (PBE) on a relaxed PaBeNbO6 crystal.

abc: 4.9931 4.9931 4.8614
angles: 90.00 90.00 120.00
Fractional coordinates of all 9 atoms:
Pa1 0.0000 0.0000 0.0000
Be1 0.6667 0.3333 0.5000
Nb1 0.3333 0.6667 0.5000
O1 0.3588 0.0161 0.7241
O2 0.3588 0.3428 0.2759
O3 0.6572 0.0161 0.2759
O4 0.6572 0.6412 0.7241
O5 0.9839 0.3428 0.7241
O6 0.9839 0.6412 0.2759

Summary:
size of the total moment: 0.00 μB/atom
formation energy (no corrections): -2.81 eV per atom
total DFT energy (no corrections): -0.3199 Ha/atom
volume: 105 Å³ per cell

***

No. 12
VASP calculation (PBE) on a relaxed KFeCl4 crystal.

abc: 10.2180 10.2180 7.0094
angles: 90.00 90.00 152.50
Fractional coordinates of all 12 atoms:
K1 0.0890 0.9110 0.7500
K2 0.9110 0.0890 0.2500
Fe1 0.3989 0.6011 0.7500
Fe2 0.6011 0.3989 0.2500
Cl1 0.0784 0.9216 0.2500
Cl2 0.3278 0.6722 0.5052
Cl3 0.3278 0.6722 0.9948
Cl4 0.5000 0.5000 0.0000
Cl5 0.5000 0.5000 0.5000
Cl6 0.6722 0.3278 0.0052
Cl7 0.6722 0.3278 0.4948
Cl8 0.9216 0.0784 0.7500

Summary:
size of the total moment: 0.83 μB/atom
offset from the most stable computed form: 133 meV per atom
formation energy (no corrections): -1.10 eV per atom
total DFT energy (no corrections): -0.1442 Ha/atom
volume: 338 Å³ per cell

***

No. 13
VASP calculation (PBE) on a relaxed TbPr2Cd2 crystal.

abc: 8.0186 8.0186 8.0186
angles: 117.58 79.96 135.35
Fractional coordinates of all 10 atoms:
Tb1 0.2500 0.2500 0.0000
Tb2 0.7500 0.7500 0.0000
Pr1 0.2103 0.6488 0.8591
Pr2 0.2897 0.1488 0.4385
Pr3 0.7103 0.8512 0.5615
Pr4 0.7897 0.3512 0.1409
Cd1 0.0562 0.3333 0.3895
Cd2 0.4438 0.8333 0.2771
Cd3 0.5562 0.1667 0.7229
Cd4 0.9438 0.6667 0.6105

Summary:
formation enthalpy at 0 K: -0.043 eV/atom
size of the total moment: 0.06 μB/atom
offset from the most stable computed form: 201 meV per atom
total DFT energy (no corrections): -0.1193 Ha/atom
volume: 311 Å³ per cell

***

No. 14
VASP calculation (PBE) on a relaxed Li4LaTm3Te8 crystal.

abc: 8.6735 8.6735 8.6735
angles: 60.47 60.47 60.47
Fractional coordinates of all 16 atoms:
Li1 0.0000 0.0000 0.0000
Li2 0.0000 0.5000 0.5000
Li3 0.5000 0.0000 0.5000
Li4 0.5000 0.5000 0.0000
La1 0.5000 0.5000 0.5000
Tm1 0.0000 0.0000 0.5000
Tm2 0.0000 0.5000 0.0000
Tm3 0.5000 0.0000 0.0000
Te1 0.2398 0.7584 0.7584
Te2 0.2416 0.2416 0.7602
Te3 0.2416 0.7602 0.2416
Te4 0.2500 0.2500 0.2500
Te5 0.7500 0.7500 0.7500
Te6 0.7584 0.2398 0.7584
Te7 0.7584 0.7584 0.2398
Te8 0.7602 0.2416 0.2416

Summary:
size of the total moment: 0.00 μB/atom
formation energy (no corrections): -1.29 eV per atom
total DFT energy (no corrections): -0.1648 Ha/atom
volume: 466 Å³ per cell

***

No. 15
VASP calculation (PBE) on a relaxed Mn2TeCl crystal.

abc: 6.6129 6.6129 6.6129
angles: 146.40 146.40 48.25
Fractional coordinates of all 4 atoms:
Mn1 0.0000 0.0000 0.0000
Mn2 0.7500 0.2500 0.5000
Te1 0.2500 0.7500 0.5000
Cl1 0.5000 0.5000 0.0000

Summary:
size of the total moment: 0.10 μB/atom
offset from the most stable computed form: 284 meV per atom
formation energy (no corrections): 0.13 eV per atom
total DFT energy (no corrections): -0.2095 Ha/atom
volume: 88 Å³ per cell

***

No. 16
VASP calculation (PBE) on a relaxed Sm2H8Rh crystal.

abc: 6.9378 6.9378 4.3196
angles: 108.07 108.07 31.27
Fractional coordinates of all 11 atoms:
Sm1 0.1469 0.1469 0.1465
Sm2 0.8531 0.8531 0.8535
H1 0.9998 0.9998 0.2885
H2 0.0002 0.0002 0.7115
H3 0.2367 0.2367 0.7368
H4 0.3911 0.3911 0.6206
H5 0.3917 0.3917 0.1596
H6 0.6083 0.6083 0.8404
H7 0.6089 0.6089 0.3794
H8 0.7633 0.7633 0.2632
Rh1 0.5000 0.5000 0.5000

Summary:
size of the total moment: 0.00 μB/atom
total DFT energy (no corrections): -0.1593 Ha/atom
volume: 102 Å³ per cell

***

No. 17
VASP calculation (PBE) on a relaxed NaDy2CdHg4 crystal.

abc: 8.9014 8.9014 8.9014
angles: 33.36 33.36 33.36
Fractional coordinates of all 8 atoms:
Na1 0.0000 0.0000 0.0000
Dy1 0.2468 0.2468 0.2468
Dy2 0.7532 0.7532 0.7532
Cd1 0.5000 0.5000 0.5000
Hg1 0.1219 0.1219 0.1219
Hg2 0.3720 0.3720 0.3720
Hg3 0.6280 0.6280 0.6280
Hg4 0.8781 0.8781 0.8781

Summary:
formation enthalpy at 0 K: -0.357 eV/atom
size of the total moment: 0.00 μB/atom
total DFT energy (no corrections): -0.0712 Ha/atom
volume: 190 Å³ per cell

***

No. 18
VASP calculation (PBE) on a relaxed Ho2MgGa9 crystal.

abc: 4.2564 4.2564 12.6345
angles: 90.00 90.00 90.00
Fractional coordinates of all 12 atoms:
Ho1 0.0000 0.0000 0.1685
Ho2 0.0000 0.0000 0.8315
Mg1 0.0000 0.0000 0.5000
Ga1 0.0000 0.5000 0.0000
Ga2 0.0000 0.5000 0.3420
Ga3 0.0000 0.5000 0.6580
Ga4 0.5000 0.0000 0.0000
Ga5 0.5000 0.0000 0.3420
Ga6 0.5000 0.0000 0.6580
Ga7 0.5000 0.5000 0.1656
Ga8 0.5000 0.5000 0.5000
Ga9 0.5000 0.5000 0.8344

Summary:
formation enthalpy at 0 K: -0.377 eV/atom
size of the total moment: 0.00 μB/atom
total DFT energy (no corrections): -0.1302 Ha/atom
volume: 229 Å³ per cell

***

No. 19
VASP calculation (PBE) on a relaxed Tm3Cu2Si4 crystal.

abc: 5.5948 5.5948 7.9332
angles: 101.25 101.25 42.19
Fractional coordinates of all 9 atoms:
Tm1 0.0000 0.0000 0.0000
Tm2 0.3381 0.3381 0.3316
Tm3 0.6619 0.6619 0.6684
Cu1 0.3876 0.3876 0.7175
Cu2 0.6124 0.6124 0.2825
Si1 0.0596 0.0596 0.3881
Si2 0.2824 0.2824 0.9410
Si3 0.7176 0.7176 0.0590
Si4 0.9404 0.9404 0.6119

Summary:
size of the total moment: 0.00 μB/atom
formation energy (no corrections): -0.70 eV per atom
total DFT energy (no corrections): -0.2026 Ha/atom
volume: 163 Å³ per cell

***

No. 20
VASP calculation (PBE) on a relaxed PtRh2 crystal.

abc: 4.4399 4.4399 2.7508
angles: 90.00 90.00 90.00
Fractional coordinates of all 3 atoms:
Pt1 0.0000 0.0000 0.0000
Rh1 0.0000 0.5000 0.5000
Rh2 0.5000 0.0000 0.5000

Summary:
formation enthalpy at 0 K: 0.617 eV/atom
size of the total moment: 0.22 μB/atom
offset from the most stable computed form: 643 meV per atom
total DFT energy (no corrections): -0.2314 Ha/atom
volume: 54 Å³ per cell